Entry from Alexandria: an optimized crystal structure of AcGdY2 (PBE).

Cell and atoms, written as extended XYZ:
```
4
Lattice="3.597 0.000 0.000 1.798 3.115 0.000 1.798 1.038 12.772" Properties=species:S:1:pos:R:3 pbc="T T T"
Ac 0.000 0.000 0.000
Y 1.798 1.038 9.239
Y 5.395 3.115 3.534
Gd 3.597 2.077 6.386
```

Calculated values
Spin magnetization: 1.78 μB per atom
Symmetry: No. 166
E above lowest polymorph: 0.1464 eV/atom
D(E_F): 7.24 states/eV/cell
Formation energy: 191 meV/atom